1.
First-principles (GGA-PBE) data for a geometry-optimized Ba2BeIn structure, as listed in Alexandria via LeMat-Bulk.

a = 3.849 Å, b = 3.849 Å, c = 9.741 Å
α = 90.00°, β = 90.00°, γ = 90.00°
Fractional positions:
Be 0.000 0.000 0.562
Ba 0.000 0.000 0.928
Ba 0.500 0.500 0.331
In 0.500 0.500 0.678

Summary:
Calculated density   4.58 g cm⁻³
DFT formation energy   0.256 eV per atom
Excess energy over the best structure of this formula in the dataset   200.9 meV per atom



2.
First-principles (GGA-PBE) data for a geometry-optimized Rh3Cl5 structure, as listed in Alexandria via LeMat-Bulk.

a = 7.247 Å, b = 7.247 Å, c = 3.352 Å
α = 90.00°, β = 90.00°, γ = 116.58°
Each line ends with the local moment (μB).
Fractional positions:
Rh 0.500 0.500 0.000  -0.10
Rh 0.679 0.321 0.500  -0.53
Rh 0.321 0.679 0.500  -0.53
Cl 0.000 0.000 0.000  -0.06
Cl 0.000 0.500 0.000  -0.04
Cl 0.500 0.000 0.000  -0.04
Cl 0.288 0.288 0.500  -0.06
Cl 0.712 0.712 0.500  -0.06

Summary:
Calculated density   5.13 g cm⁻³
Excess energy over the best structure of this formula in the dataset   343.8 meV per atom



3.
First-principles (GGA-PBE) data for a geometry-optimized Ac3Ga2Cu3 structure, as listed in Alexandria via LeMat-Bulk.

a = 4.570 Å, b = 6.103 Å, c = 15.457 Å
α = 90.00°, β = 90.00°, γ = 111.99°
Fractional positions:
Ac 0.889 0.779 0.400
Ac 0.111 0.221 0.900
Ac 0.889 0.779 0.100
Ac 0.111 0.221 0.600
Ac 0.598 0.196 0.250
Ac 0.402 0.804 0.750
Ga 0.813 0.626 0.899
Ga 0.187 0.374 0.399
Ga 0.813 0.626 0.601
Ga 0.187 0.374 0.101
Cu 0.603 0.206 0.455
Cu 0.397 0.794 0.955
Cu 0.603 0.206 0.045
Cu 0.397 0.794 0.545
Cu 0.298 0.597 0.250
Cu 0.702 0.403 0.750

Summary:
Calculated density   8.40 g cm⁻³
DFT formation energy   -0.304 eV per atom



4.
First-principles (GGA-PBE) data for a geometry-optimized ScCoOs2 structure, as listed in Alexandria via LeMat-Bulk.

a = 9.019 Å, b = 9.019 Å, c = 9.019 Å
α = 17.68°, β = 17.68°, γ = 17.68°
Each line ends with the local moment (μB).
Fractional positions:
Co 0.750 0.750 0.750  1.55
Os 0.007 0.007 0.007  0.11
Os 0.493 0.493 0.493  0.11
Sc 0.250 0.250 0.250  0.10

Summary:
Calculated density   13.61 g cm⁻³
DFT formation energy   0.247 eV per atom
Excess energy over the best structure of this formula in the dataset   291.9 meV per atom



5.
First-principles (GGA-PBE) data for a geometry-optimized ZrTlZnF2 structure, as listed in Alexandria via LeMat-Bulk.

a = 4.462 Å, b = 5.514 Å, c = 4.462 Å
α = 90.00°, β = 90.00°, γ = 90.00°
Each line ends with the local moment (μB).
Fractional positions:
Tl 0.000 0.000 0.000  -0.04
Zn 0.000 0.500 0.000  0.04
Zr 0.500 0.500 0.500  0.89
F 0.000 0.000 0.500  0.01
F 0.500 0.000 0.000  -0.02

Summary:
Calculated density   6.03 g cm⁻³



6.
First-principles (GGA-PBE) data for a geometry-optimized Bi2Se2Br structure, as listed in Alexandria via LeMat-Bulk.

a = 8.346 Å, b = 8.346 Å, c = 3.890 Å
α = 90.00°, β = 90.00°, γ = 90.00°
Fractional positions:
Se 0.147 0.647 0.500
Se 0.647 0.853 0.500
Se 0.853 0.353 0.500
Se 0.353 0.147 0.500
Bi 0.341 0.841 0.000
Bi 0.841 0.659 0.000
Bi 0.659 0.159 0.000
Bi 0.159 0.341 0.000
Br 0.000 0.000 0.000
Br 0.500 0.500 0.000

Summary:
Calculated density   8.04 g cm⁻³
Excess energy over the best structure of this formula in the dataset   66.5 meV per atom



7.
First-principles (GGA-PBE) data for a geometry-optimized LuScZnRh structure, as listed in Alexandria via LeMat-Bulk.

a = 4.740 Å, b = 4.740 Å, c = 4.740 Å
α = 60.00°, β = 60.00°, γ = 60.00°
Fractional positions:
Sc 0.250 0.250 0.250
Zn 0.000 0.000 0.000
Lu 0.750 0.750 0.750
Rh 0.500 0.500 0.500

Summary:
Calculated density   8.56 g cm⁻³
DFT formation energy   -0.659 eV per atom



8.
First-principles (GGA-PBE) data for a geometry-optimized CaCu4Tc structure, as listed in Alexandria via LeMat-Bulk.

a = 5.014 Å, b = 5.014 Å, c = 5.014 Å
α = 60.00°, β = 60.00°, γ = 60.00°
Each line ends with the local moment (μB).
Fractional positions:
Ca 0.000 0.000 0.000  0.01
Cu 0.872 0.376 0.376  0.03
Cu 0.376 0.376 0.872  0.03
Cu 0.376 0.872 0.376  0.03
Cu 0.376 0.376 0.376  0.03
Tc 0.750 0.750 0.750  1.46

Summary:
Calculated density   7.31 g cm⁻³
DFT formation energy   0.239 eV per atom



9.
First-principles (GGA-PBE) data for a geometry-optimized LiAl2Cd structure, as listed in Alexandria via LeMat-Bulk.

a = 4.092 Å, b = 2.980 Å, c = 6.547 Å
α = 63.23°, β = 90.00°, γ = 90.00°
Fractional positions:
Li 0.500 0.747 0.753
Al 0.000 0.994 0.005
Al 0.500 0.272 0.229
Cd 0.000 0.487 0.513

Summary:
Calculated density   4.04 g cm⁻³
DFT formation energy   -0.061 eV per atom



10.
First-principles (GGA-PBE) data for a geometry-optimized La3Pr3CoHg2 structure, as listed in Alexandria via LeMat-Bulk.

a = 3.838 Å, b = 8.930 Å, c = 8.930 Å
α = 120.00°, β = 90.00°, γ = 90.00°
Fractional positions:
La 0.500 0.770 0.000
La 0.500 0.000 0.770
La 0.500 0.230 0.230
Pr 0.000 0.592 0.592
Pr 0.000 0.000 0.408
Pr 0.000 0.408 0.000
Co 0.000 0.000 0.000
Hg 0.500 0.667 0.333
Hg 0.500 0.333 0.667

Summary:
Calculated density   8.14 g cm⁻³
DFT formation energy   -0.273 eV per atom



11.
First-principles (GGA-PBE) data for a geometry-optimized BaDy4HoS8 structure, as listed in Alexandria via LeMat-Bulk.

a = 8.236 Å, b = 8.236 Å, c = 8.228 Å
α = 59.97°, β = 59.97°, γ = 60.00°
Fractional positions:
Ba 0.375 0.375 0.875
Dy 0.625 0.625 0.125
Dy 0.002 0.495 0.502
Dy 0.495 0.002 0.502
Dy 0.002 0.002 0.502
Ho 0.002 0.002 0.994
S 0.231 0.804 0.733
S 0.804 0.231 0.733
S 0.231 0.231 0.733
S 0.232 0.232 0.304
S 0.758 0.228 0.256
S 0.228 0.758 0.256
S 0.758 0.758 0.256
S 0.757 0.757 0.729

Summary:
Calculated density   5.09 g cm⁻³



12.
First-principles (GGA-PBE) data for a geometry-optimized Zr2Co structure, as listed in Alexandria via LeMat-Bulk.

a = 7.187 Å, b = 7.187 Å, c = 4.807 Å
α = 90.00°, β = 90.00°, γ = 153.41°
Each line ends with the local moment (μB).
Fractional positions:
Zr 0.574 0.426 0.750  -0.03
Zr 0.426 0.574 0.250  -0.03
Zr 0.273 0.727 0.750  0.04
Zr 0.727 0.273 0.250  0.04
Co 0.923 0.077 0.750  0.63
Co 0.077 0.923 0.250  0.63

Summary:
Calculated density   7.21 g cm⁻³
DFT formation energy   -0.132 eV per atom



13.
First-principles (GGA-PBE) data for a geometry-optimized UGa2Co structure, as listed in Alexandria via LeMat-Bulk.

a = 2.785 Å, b = 2.785 Å, c = 7.895 Å
α = 90.00°, β = 90.00°, γ = 90.00°
Each line ends with the local moment (μB).
Fractional positions:
Co 0.500 0.500 0.000  0.15
U 0.500 0.500 0.500  1.10
Ga 0.000 0.000 0.805  -0.02
Ga 0.000 0.000 0.195  -0.02

Summary:
Calculated density   11.83 g cm⁻³
DFT formation energy   -0.179 eV per atom



14.
First-principles (GGA-PBE) data for a geometry-optimized Cd2IrCl structure, as listed in Alexandria via LeMat-Bulk.

a = 5.537 Å, b = 5.537 Å, c = 5.537 Å
α = 137.23°, β = 137.23°, γ = 62.08°
Fractional positions:
Cl 0.500 0.500 0.000
Ir 0.750 0.250 0.500
Cd 0.000 0.000 0.000
Cd 0.250 0.750 0.500

Summary:
Calculated density   9.72 g cm⁻³
Excess energy over the best structure of this formula in the dataset   497.8 meV per atom



15.
First-principles (GGA-PBE) data for a geometry-optimized As2HRuBr structure, as listed in Alexandria via LeMat-Bulk.

a = 4.685 Å, b = 4.685 Å, c = 5.537 Å
α = 90.00°, β = 90.00°, γ = 90.00°
Each line ends with the local moment (μB).
Fractional positions:
Ru 0.000 0.000 0.000  -0.02
As 0.000 0.500 0.000  0.00
As 0.500 0.000 0.000  0.00
Br 0.000 0.000 0.500  0.05
H 0.500 0.500 0.500  0.36

Summary:
Calculated density   4.53 g cm⁻³
Excess energy over the best structure of this formula in the dataset   0.0 meV per atom



16.
First-principles (GGA-PBE) data for a geometry-optimized GeBiP2 structure, as listed in Alexandria via LeMat-Bulk.

a = 4.859 Å, b = 4.859 Å, c = 4.859 Å
α = 60.00°, β = 60.00°, γ = 60.00°
Fractional positions:
P 0.250 0.250 0.250
P 0.750 0.750 0.750
Ge 0.000 0.000 0.000
Bi 0.500 0.500 0.500

Summary:
Calculated density   7.03 g cm⁻³
DFT formation energy   0.528 eV per atom
Excess energy over the best structure of this formula in the dataset   354.5 meV per atom



17.
First-principles (GGA-PBE) data for a geometry-optimized Sr2Be2In structure, as listed in Alexandria via LeMat-Bulk.

a = 6.122 Å, b = 6.122 Å, c = 5.591 Å
α = 56.80°, β = 56.80°, γ = 90.00°
Fractional positions:
Sr 0.750 0.250 0.500
Sr 0.250 0.750 0.500
Be 0.357 0.357 0.286
Be 0.643 0.643 0.714
In 0.000 0.000 0.000

Summary:
Calculated density   3.86 g cm⁻³
DFT formation energy   0.259 eV per atom
Excess energy over the best structure of this formula in the dataset   59.0 meV per atom



18.
First-principles (GGA-PBE) data for a geometry-optimized TaV2AuN structure, as listed in Alexandria via LeMat-Bulk.

a = 4.000 Å, b = 4.000 Å, c = 4.237 Å
α = 90.00°, β = 90.00°, γ = 90.00°
Fractional positions:
N 0.000 0.000 0.000
V 0.000 0.500 0.000
V 0.500 0.000 0.000
Au 0.500 0.500 0.500
Ta 0.000 0.000 0.500

Summary:
Calculated density   12.10 g cm⁻³



19.
First-principles (GGA-PBE) data for a geometry-optimized TlCu2Pt structure, as listed in Alexandria via LeMat-Bulk.

a = 4.489 Å, b = 4.489 Å, c = 4.489 Å
α = 60.00°, β = 60.00°, γ = 60.00°
Fractional positions:
Cu 0.000 0.000 0.000
Cu 0.250 0.250 0.250
Pt 0.500 0.500 0.500
Tl 0.750 0.750 0.750

Summary:
Calculated density   13.67 g cm⁻³
DFT formation energy   0.112 eV per atom
Excess energy over the best structure of this formula in the dataset   54.8 meV per atom



20.
First-principles (GGA-PBE) data for a geometry-optimized Li2ZrSb structure, as listed in Alexandria via LeMat-Bulk.

a = 3.010 Å, b = 3.010 Å, c = 9.367 Å
α = 90.00°, β = 90.00°, γ = 90.00°
Fractional positions:
Li 0.000 0.000 0.023
Li 0.000 0.000 0.477
Sb 0.500 0.500 0.250
Zr 0.500 0.500 0.750

Summary:
Calculated density   4.44 g cm⁻³



Number 1: total DFT energy (no corrections) -9.29 eV/cell. Number 2: total DFT energy (no corrections) -29.48 eV/cell. Number 3: total DFT energy (no corrections) -66.20 eV/cell. Number 4: total DFT energy (no corrections) -34.91 eV/cell. Number 5: total DFT energy (no corrections) -17.77 eV/cell. Number 6: total DFT energy (no corrections) -35.49 eV/cell. Number 7: total DFT energy (no corrections) -22.11 eV/cell. Number 8: total DFT energy (no corrections) -27.32 eV/cell. Number 9: total DFT energy (no corrections) -10.56 eV/cell. Number 10: total DFT energy (no corrections) -39.29 eV/cell. Number 11: total DFT energy (no corrections) -85.47 eV/cell. Number 12: total DFT energy (no corrections) -49.20 eV/cell. Number 13: total DFT energy (no corrections) -25.16 eV/cell. Number 14: total DFT energy (no corrections) -11.06 eV/cell. Number 15: total DFT energy (no corrections) -19.88 eV/cell. Number 16: total DFT energy (no corrections) -17.21 eV/cell. Number 17: total DFT energy (no corrections) -12.26 eV/cell. Number 18: total DFT energy (no corrections) -44.38 eV/cell. Number 19: total DFT energy (no corrections) -16.15 eV/cell. Number 20: total DFT energy (no corrections) -16.54 eV/cell.